Entry 1:
Density functional theory data (GGA-PBE) for crystalline Al3BiPb at its relaxed geometry.

Cell: 5.352 5.352 5.352 Å, 90.00 90.00 90.00°
Fractional coordinates of all 5 atoms:
Al: 0.000 0.000 0.500
Al: 0.000 0.500 0.000
Al: 0.500 0.000 0.000
Bi: 0.500 0.500 0.500
Pb: 0.000 0.000 0.000

Properties
Distance to the lowest polymorph of the same formula (meV/atom): 0
V (Å³/cell): 153.3
Formation energy (meV per atom): 832
Space group: Pm-3m, No. 221
Mass density (Mg/m³): 5.4
Calculated total energy (eV per cell): -14.7


Entry 2:
Density functional theory data (GGA-PBE) for crystalline AlBiPb3 at its relaxed geometry.

Cell: 6.047 6.047 6.047 Å, 90.00 90.00 90.00°
Fractional coordinates of all 5 atoms:
Al: 0.000 0.000 0.000
Bi: 0.500 0.500 0.500
Pb: 0.000 0.500 0.500
Pb: 0.500 0.000 0.500
Pb: 0.500 0.500 0.000

Properties
Distance to the lowest polymorph of the same formula (meV/atom): 520
V (Å³/cell): 221.2
Formation energy (meV per atom): 848
Space group: Pm-3m, No. 221
Mass density (Mg/m³): 6.4
Calculated total energy (eV per cell): -14.5


Entry 3:
Density functional theory data (GGA-PBE) for crystalline AlBiPb3 at its relaxed geometry.

Cell: 5.462 5.462 5.462 Å, 90.00 90.00 90.00°
Fractional coordinates of all 5 atoms:
Al: 0.000 0.000 0.000
Bi: 0.500 0.500 0.500
Pb: 0.000 0.000 0.500
Pb: 0.000 0.500 0.000
Pb: 0.500 0.000 0.000

Properties
Distance to the lowest polymorph of the same formula (meV/atom): 0
V (Å³/cell): 162.9
Formation energy (meV per atom): 327
Space group: Pm-3m, No. 221
Mass density (Mg/m³): 8.7
Calculated total energy (eV per cell): -17.1


Entry 4:
Density functional theory data (GGA-PBE) for crystalline AlBiPb2S5 at its relaxed geometry.

Cell: 9.134 9.134 12.708 Å, 90.00 90.00 155.06°
Fractional coordinates of all 18 atoms:
Al: 0.050 0.950 0.500
Al: 0.950 0.050 0.000
Bi: 0.299 0.701 0.110
Bi: 0.701 0.299 0.610
Pb: 0.376 0.624 0.406
Pb: 0.380 0.620 0.753
Pb: 0.620 0.380 0.253
Pb: 0.624 0.376 0.906
S: 0.014 0.986 0.849
S: 0.148 0.852 0.092
S: 0.173 0.827 0.450
S: 0.212 0.788 0.763
S: 0.469 0.531 0.097
S: 0.531 0.469 0.597
S: 0.788 0.212 0.263
S: 0.827 0.173 0.950
S: 0.852 0.148 0.592
S: 0.986 0.014 0.349

Properties
V (Å³/cell): 447.1
Space group: Cmc2_1, No. 36
Mass density (Mg/m³): 6.0
Calculated total energy (eV per cell): -82.8
E_form (uncorrected) (eV per formula unit): -5.70


Entry 5:
Density functional theory data (GGA-PBE) for crystalline ScAl2BiPb at its relaxed geometry.

Cell: 5.247 5.247 6.030 Å, 90.00 90.00 90.00°
Fractional coordinates of all 5 atoms:
Sc: 0.000 0.000 0.000
Al: 0.000 0.500 0.500
Al: 0.500 0.000 0.500
Bi: 0.500 0.500 0.000
Pb: 0.500 0.500 0.500

Properties
V (Å³/cell): 166.0
Formation energy (meV per atom): 854
Space group: P4/mmm, No. 123
Mass density (Mg/m³): 5.2
Calculated total energy (eV per cell): -17.1


Entry 6:
Density functional theory data (GGA-PBE) for crystalline AlBiPb2Se5 at its relaxed geometry.

Cell: 9.540 9.540 13.203 Å, 90.00 90.00 155.18°
Fractional coordinates of all 18 atoms:
Al: 0.052 0.948 0.500
Al: 0.948 0.052 0.000
Bi: 0.300 0.700 0.110
Bi: 0.700 0.300 0.610
Pb: 0.373 0.627 0.755
Pb: 0.380 0.620 0.408
Pb: 0.620 0.380 0.908
Pb: 0.627 0.373 0.255
Se: 0.012 0.988 0.846
Se: 0.147 0.853 0.093
Se: 0.177 0.823 0.448
Se: 0.210 0.790 0.766
Se: 0.468 0.532 0.103
Se: 0.532 0.468 0.603
Se: 0.790 0.210 0.266
Se: 0.823 0.177 0.948
Se: 0.853 0.147 0.593
Se: 0.988 0.012 0.346

Properties
V (Å³/cell): 504.4
Space group: Cmc2_1, No. 36
Mass density (Mg/m³): 6.9
Calculated total energy (eV per cell): -75.6
E_form (uncorrected) (eV per formula unit): -5.33